Record 1
Compound: H2AuF
Source: Alexandria via LeMat-Bulk
Functional: GGA-PBE
Structure: relaxed

Geometry as CIF:
```
data_H2AuF
_chemical_formula_sum 'H2 Au1 F1'
_cell_length_a 2.769
_cell_length_b 3.267
_cell_length_c 7.038
_cell_angle_alpha 88.07
_cell_angle_beta 83.76
_cell_angle_gamma 68.81
_symmetry_space_group_name_H-M 'P 1'
_symmetry_Int_Tables_number 1
loop_
_symmetry_equiv_pos_as_xyz
'x,y,z'
loop_
_atom_site_label
_atom_site_fract_x
_atom_site_fract_y
_atom_site_fract_z
_atom_site_occupancy
H1 0.000 0.000 0.000 1
H2 0.428 0.279 0.498 1
Au1 0.672 0.603 0.999 1
F1 0.149 0.174 0.499 1
```



Record 2
Compound: H2AuF8
Source: Alexandria via LeMat-Bulk
Functional: GGA-PBE
Structure: relaxed

Geometry as CIF:
```
data_H2AuF8
_chemical_formula_sum 'H2 Au1 F8'
_cell_length_a 5.538
_cell_length_b 5.538
_cell_length_c 5.191
_cell_angle_alpha 92.94
_cell_angle_beta 92.94
_cell_angle_gamma 63.04
_symmetry_space_group_name_H-M 'P 1'
_symmetry_Int_Tables_number 1
loop_
_symmetry_equiv_pos_as_xyz
'x,y,z'
loop_
_atom_site_label
_atom_site_fract_x
_atom_site_fract_y
_atom_site_fract_z
_atom_site_occupancy
H1 0.248 0.248 0.068 1
H2 0.752 0.752 0.932 1
Au1 0.500 0.500 0.500 1
F1 0.213 0.213 0.890 1
F2 0.221 0.692 0.746 1
F3 0.303 0.303 0.368 1
F4 0.308 0.779 0.254 1
F5 0.692 0.221 0.746 1
F6 0.697 0.697 0.632 1
F7 0.779 0.308 0.254 1
F8 0.787 0.787 0.110 1
```



Record 3
Compound: H2AuF
Source: Alexandria via LeMat-Bulk
Functional: GGA-PBE
Structure: relaxed

Geometry as CIF:
```
data_H2AuF
_chemical_formula_sum 'H2 Au1 F1'
_cell_length_a 2.793
_cell_length_b 3.110
_cell_length_c 7.013
_cell_angle_alpha 88.36
_cell_angle_beta 87.61
_cell_angle_gamma 74.18
_symmetry_space_group_name_H-M 'P 1'
_symmetry_Int_Tables_number 1
loop_
_symmetry_equiv_pos_as_xyz
'x,y,z'
loop_
_atom_site_label
_atom_site_fract_x
_atom_site_fract_y
_atom_site_fract_z
_atom_site_occupancy
H1 0.000 0.000 0.000 1
H2 0.046 0.039 0.500 1
Au1 0.362 0.394 0.000 1
F1 0.771 0.914 0.500 1
```



Record 4
Compound: HAuF6
Source: Alexandria via LeMat-Bulk
Functional: GGA-PBE
Structure: relaxed

Geometry as CIF:
```
data_HAuF6
_chemical_formula_sum 'H2 Au2 F12'
_cell_length_a 5.235
_cell_length_b 9.002
_cell_length_c 5.346
_cell_angle_alpha 90.00
_cell_angle_beta 114.82
_cell_angle_gamma 90.00
_symmetry_space_group_name_H-M 'P 1'
_symmetry_Int_Tables_number 1
loop_
_symmetry_equiv_pos_as_xyz
'x,y,z'
loop_
_atom_site_label
_atom_site_fract_x
_atom_site_fract_y
_atom_site_fract_z
_atom_site_occupancy
H1 0.000 0.000 0.000 1
H2 0.500 0.500 0.000 1
Au1 0.000 0.000 0.500 1
Au2 0.500 0.500 0.500 1
F1 0.167 0.000 0.228 1
F2 0.236 0.351 0.273 1
F3 0.236 0.649 0.273 1
F4 0.264 0.149 0.727 1
F5 0.264 0.851 0.727 1
F6 0.333 0.500 0.772 1
F7 0.667 0.500 0.228 1
F8 0.736 0.149 0.273 1
F9 0.736 0.851 0.273 1
F10 0.764 0.351 0.727 1
F11 0.764 0.649 0.727 1
F12 0.833 0.000 0.772 1
```



Record 5
Compound: H2AuF6
Source: Alexandria via LeMat-Bulk
Functional: GGA-PBE
Structure: relaxed

Geometry as CIF:
```
data_H2AuF6
_chemical_formula_sum 'H4 Au2 F12'
_cell_length_a 6.259
_cell_length_b 6.259
_cell_length_c 6.044
_cell_angle_alpha 97.14
_cell_angle_beta 97.14
_cell_angle_gamma 84.56
_symmetry_space_group_name_H-M 'P 1'
_symmetry_Int_Tables_number 1
loop_
_symmetry_equiv_pos_as_xyz
'x,y,z'
loop_
_atom_site_label
_atom_site_fract_x
_atom_site_fract_y
_atom_site_fract_z
_atom_site_occupancy
H1 0.082 0.171 0.128 1
H2 0.171 0.082 0.628 1
H3 0.829 0.918 0.372 1
H4 0.918 0.829 0.872 1
Au1 0.397 0.603 0.750 1
Au2 0.603 0.397 0.250 1
F1 0.084 0.216 0.617 1
F2 0.126 0.651 0.881 1
F3 0.216 0.084 0.117 1
F4 0.325 0.455 0.384 1
F5 0.349 0.874 0.619 1
F6 0.455 0.325 0.884 1
F7 0.545 0.675 0.116 1
F8 0.651 0.126 0.381 1
F9 0.675 0.545 0.616 1
F10 0.784 0.916 0.883 1
F11 0.874 0.349 0.119 1
F12 0.916 0.784 0.383 1
```



Record 6
Compound: HAuF4
Source: Alexandria via LeMat-Bulk
Functional: GGA-PBE
Structure: relaxed

Geometry as CIF:
```
data_HAuF4
_chemical_formula_sum 'H2 Au2 F8'
_cell_length_a 6.444
_cell_length_b 6.444
_cell_length_c 6.444
_cell_angle_alpha 102.34
_cell_angle_beta 102.34
_cell_angle_gamma 124.92
_symmetry_space_group_name_H-M 'P 1'
_symmetry_Int_Tables_number 1
loop_
_symmetry_equiv_pos_as_xyz
'x,y,z'
loop_
_atom_site_label
_atom_site_fract_x
_atom_site_fract_y
_atom_site_fract_z
_atom_site_occupancy
H1 0.000 0.000 0.000 1
H2 0.750 0.250 0.500 1
Au1 0.388 0.888 0.500 1
Au2 0.638 0.638 0.000 1
F1 0.066 0.928 0.138 1
F2 0.154 0.489 0.335 1
F3 0.154 0.819 0.665 1
F4 0.239 0.404 0.835 1
F5 0.569 0.404 0.165 1
F6 0.678 0.041 0.362 1
F7 0.678 0.316 0.638 1
F8 0.791 0.928 0.862 1
```



Number 1: VASP energy -3.542 eV/atom. Number 2: VASP energy -3.244 eV/atom. Number 3: VASP energy -3.545 eV/atom. Number 4: VASP energy -3.192 eV/atom. Number 5: VASP energy -3.481 eV/atom. Number 6: VASP energy -3.394 eV/atom.